Arrangement i

VASP calculation (GGA-PBE) on Ce6GaOs2 after structural relaxation.

```
9
Lattice="5.064 -2.421 0.000 5.064 2.421 0.000 -0.769 0.000 8.740" Properties=species:S:1:pos:R:3 pbc="T T T"
Ce 0.290 0.000 3.100
Ce 2.368 0.000 7.937
Ce 3.705 0.000 2.856
Ce 5.654 0.000 5.884
Ce 6.990 0.000 0.804
Ce 9.069 0.000 5.640
Ga 0.000 0.000 0.000
Os 2.259 0.000 5.388
Os 7.100 0.000 3.352
```

## Properties
M_tot (μB/f.u.): 0.569

Arrangement ii

VASP calculation (GGA-PBE) on Ce6GaOs2 after structural relaxation.

```
18
Lattice="6.335 0.000 0.000 0.000 7.482 0.000 -6.073 0.000 9.502" Properties=species:S:1:pos:R:3 pbc="T T T"
Ce -0.843 0.651 2.116
Ce -3.880 3.090 6.867
Ce 0.790 5.201 0.734
Ce -2.246 6.022 5.485
Ce 2.298 0.984 0.435
Ce -0.738 2.757 5.186
Ce 1.000 4.725 4.316
Ce -2.036 6.498 9.067
Ce 2.508 1.460 4.017
Ce -0.528 2.281 8.769
Ce 4.142 4.392 2.635
Ce 1.105 6.831 7.386
Ga 0.131 0.000 4.751
Ga 3.168 3.741 0.000
Os -2.487 0.771 6.888
Os 0.549 2.970 2.137
Os -0.287 4.512 7.365
Os 2.749 6.711 2.614
```

## Properties
M_tot (μB/f.u.): 1.467

The winner here is arrangement i, beating the second structure by 16.9 kJ/mol of atoms.

Arrangement i

VASP calculation (GGA-PBE) on CeGa3Os after structural relaxation.

```
10
Lattice="3.554 -5.797 0.000 3.554 5.797 0.000 0.000 0.000 4.989" Properties=species:S:1:pos:R:3 pbc="T T T"
Ce 3.554 4.997 3.741
Ce 3.554 -4.997 1.247
Ga 2.383 3.074 1.247
Ga 4.726 3.074 1.247
Ga 3.554 0.000 0.000
Ga 3.554 0.000 2.494
Ga 2.383 -3.074 3.741
Ga 4.726 -3.074 3.741
Os 3.554 2.089 3.741
Os 3.554 -2.089 1.247
```

## Properties
M_tot (μB/f.u.): 1.308

Arrangement ii

VASP calculation (GGA-PBE) on CeGa3Os after structural relaxation.

```
15
Lattice="6.491 0.000 0.000 0.000 6.491 0.000 0.000 0.000 6.491" Properties=species:S:1:pos:R:3 pbc="T T T"
Ce 0.000 0.000 3.245
Ce 0.000 3.245 0.000
Ce 3.245 0.000 0.000
Ga 0.000 0.000 0.000
Ga 1.891 1.891 1.891
Ga 1.891 1.891 4.599
Ga 1.891 4.599 1.891
Ga 1.891 4.599 4.599
Ga 4.599 1.891 1.891
Ga 4.599 1.891 4.599
Ga 4.599 4.599 1.891
Ga 4.599 4.599 4.599
Os 0.000 3.245 3.245
Os 3.245 0.000 3.245
Os 3.245 3.245 0.000
```

## Properties
M_tot (μB/f.u.): 0.002

The winner here is arrangement ii, beating the second structure by 47.9 kJ/mol of atoms.